# 1
# SrCr3

A relaxed SrCr3 crystal (PBE-GGA, Alexandria via LeMat-Bulk).

space-group type	P6_3/mmc, No. 194
calculated formation energy	4.1	eV per formula unit

```
SrCr3
1.0
-4.399 2.490 -4.592
-1.890 -5.109 4.119
-2.872 5.828 5.911
Cr Sr
12 4
direct
0.500 0.500 0.000
0.208 0.792 0.750
0.584 0.792 0.750
0.000 0.500 0.000
0.500 0.500 0.500
0.792 0.584 0.250
0.792 0.208 0.250
0.500 0.000 0.500
0.500 0.000 0.000
0.208 0.416 0.750
0.000 0.500 0.500
0.416 0.208 0.250
0.000 0.000 0.500
0.667 0.333 0.750
0.333 0.667 0.250
0.000 0.000 0.000
```

=====

# 2
# SrCr3

A relaxed SrCr3 crystal (PBE-GGA, Alexandria via LeMat-Bulk).

space-group type	P4/mmm, No. 123
calculated formation energy	2.9	eV per formula unit

```
SrCr3
1.0
3.232 0.003 0.000
-0.002 3.232 0.000
0.000 0.000 7.082
Cr Sr
3 1
direct
0.000 0.000 0.891
0.000 0.000 0.609
0.500 0.500 0.750
0.500 0.500 0.250
```